# 1
Compound: ZnSiOs2
Source: the Alexandria database
Functional: PBE
Structure: optimized geometry

Results
ΔE_f (raw) = 0.43 eV/atom
crystal system = cubic

Unit cell a=6.0858 b=6.0858 c=6.0858 alpha=90.00 beta=90.00 gamma=90.00
With the nearest neighbours (Å) after each atom.
Space group F-43m (No. 216)
Symmetry-distinct sites (fractional):
Zn (0.0000, 0.0000, 0.0000) x4  4 Os 2.64, 4 Si 2.64
Si (0.2500, 0.2500, 0.2500) x4  4 Os 2.64, 4 Zn 2.64
Os (0.0000, 0.0000, 0.5000) x4  4 Os 2.64, 4 Si 2.64
Os (0.2500, 0.2500, 0.7500) x4  4 Os 2.64, 4 Zn 2.64



# 2
Compound: Zn2SiOs
Source: the Alexandria database
Functional: PBE
Structure: optimized geometry

Results
ΔE_f (raw) = -0.02 eV/atom
crystal system = monoclinic

Unit cell a=8.6809 b=3.1031 c=4.5600 alpha=90.00 beta=112.54 gamma=90.00
With the nearest neighbours (Å) after each atom.
Space group Cm (No. 8)
Symmetry-distinct sites (fractional):
Zn (0.0000, 0.0000, 0.0000) x2  3 Zn 2.46-2.58, 2 Si 2.61
Zn (0.2435, 0.0000, 0.8505) x2  3 Zn 2.46-2.58, 2 Os 2.68, 1 Si 2.74
Si (0.4872, 0.0000, 0.4492) x2  3 Os 2.42-2.51, 2 Zn 2.61
Os (0.2620, 0.5000, 0.3851) x2  3 Si 2.42-2.51, 2 Zn 2.68



# 3
Compound: ZnSi2Os
Source: the Alexandria database
Functional: PBE
Structure: optimized geometry

Results
ΔE_f (raw) = 0.07 eV/atom
crystal system = monoclinic

Unit cell a=8.8729 b=2.9496 c=4.2671 alpha=90.00 beta=94.61 gamma=90.00
With the nearest neighbours (Å) after each atom.
Space group Cm (No. 8)
Symmetry-distinct sites (fractional):
Zn (0.0000, 0.0000, 0.0000) x2  5 Si 2.42-2.62, 1 Os 2.65
Si (0.0228, 0.5000, 0.5102) x2  1 Si 2.51, 3 Os 2.55-2.62, 4 Zn 2.58-2.62
Si (0.2565, 0.5000, 0.2162) x2  1 Zn 2.42, 1 Si 2.51, 4 Os 2.52-2.67
Os (0.2477, 0.0000, 0.6941) x2  7 Si 2.52-2.67, 1 Zn 2.65



# 4
Compound: ZnSiOs2
Source: the Alexandria database
Functional: PBE
Structure: optimized geometry

Results
ΔE_f (raw) = 0.03 eV/atom
crystal system = monoclinic

Unit cell a=2.8457 b=3.7529 c=5.3810 alpha=90.00 beta=102.14 gamma=90.00
With the nearest neighbours (Å) after each atom.
Space group P2/m (No. 10)
Symmetry-distinct sites (fractional):
Zn (0.0000, 0.0000, 0.0000) x1  2 Si 2.69, 8 Os 2.70-2.79, 2 Zn 2.85
Si (0.0000, 0.0000, 0.5000) x1  4 Os 2.36
Os (0.3618, 0.5000, 0.7310) x2  2 Si 2.36



# 5
Compound: ZnSi2Os
Source: the Alexandria database
Functional: PBE
Structure: optimized geometry

Results
ΔE_f (raw) = 0.35 eV/atom
crystal system = orthorhombic

Unit cell a=2.8985 b=4.7725 c=8.5563 alpha=90.00 beta=90.00 gamma=90.00
With the nearest neighbours (Å) after each atom.
Space group Cmm2 (No. 35)
Symmetry-distinct sites (fractional):
Zn (0.0000, 0.0000, 0.0000) x2  2 Os 2.67, 2 Si 2.69, 6 Zn 2.79-2.90
Si (0.0000, 0.0000, 0.5185) x2  2 Os 2.38, 2 Si 2.61
Si (0.0000, 0.5000, 0.2647) x2  8 Si 2.61-2.90, 2 Zn 2.69
Os (0.0000, 0.5000, 0.7385) x2  2 Si 2.38



# 6
Compound: Zn2SiOs
Source: the Alexandria database
Functional: PBE
Structure: optimized geometry

Results
ΔE_f (raw) = 0.06 eV/atom
crystal system = tetragonal

Unit cell a=3.8050 b=3.8050 c=7.5651 alpha=90.00 beta=90.00 gamma=90.00
With the nearest neighbours (Å) after each atom.
Space group I-4m2 (No. 119)
Symmetry-distinct sites (fractional):
Zn (0.0000, 0.0000, 0.0000) x2  4 Os 2.68, 4 Zn 2.68, 4 Si 2.69
Zn (0.0000, 0.5000, 0.2500) x2  4 Zn 2.68, 4 Si 2.68, 4 Os 2.69
Si (0.0000, 0.0000, 0.5000) x2  4 Os 2.68, 8 Zn 2.68-2.69
Os (0.0000, 0.5000, 0.7500) x2  8 Zn 2.68-2.69, 4 Si 2.68



# 7
Compound: ZnSiOs2
Source: the Alexandria database
Functional: PBE
Structure: optimized geometry

Results
ΔE_f (raw) = -0.01 eV/atom
crystal system = tetragonal

Unit cell a=2.9606 b=2.9606 c=6.1529 alpha=90.00 beta=90.00 gamma=90.00
With the nearest neighbours (Å) after each atom.
Space group P4/mmm (No. 123)
Symmetry-distinct sites (fractional):
Zn (0.0000, 0.0000, 0.0000) x1  8 Os 2.68, 4 Zn 2.96
Si (0.0000, 0.0000, 0.5000) x1  8 Os 2.52
Os (0.5000, 0.5000, 0.2724) x2  4 Si 2.52, 4 Zn 2.68, 1 Os 2.80



# 8
Compound: Zn2SiOs
Source: the Alexandria database
Functional: PBE
Structure: optimized geometry

Results
ΔE_f (raw) = 0.36 eV/atom
crystal system = orthorhombic

Unit cell a=2.6882 b=4.6664 c=9.6072 alpha=90.00 beta=90.00 gamma=90.00
With the nearest neighbours (Å) after each atom.
Space group Cmmm (No. 65)
Symmetry-distinct sites (fractional):
Zn (0.0000, 0.0000, 0.2389) x4  2 Os 2.66, 6 Zn 2.69, 2 Si 2.85
Si (0.0000, 0.5000, 0.5000) x2  6 Si 2.69, 4 Zn 2.85
Os (0.0000, 0.5000, 0.0000) x2  4 Zn 2.66, 6 Os 2.69



# 9
Compound: Zn2SiOs
Source: the Alexandria database
Functional: PBE
Structure: optimized geometry

Results
ΔE_f (raw) = 0.40 eV/atom
crystal system = tetragonal

Unit cell a=2.7018 b=2.7018 c=8.2137 alpha=90.00 beta=90.00 gamma=90.00
With the nearest neighbours (Å) after each atom.
Space group P4/mmm (No. 123)
Symmetry-distinct sites (fractional):
Zn (0.0000, 0.0000, 0.2335) x2  4 Zn 2.70, 4 Os 2.71, 4 Si 2.91
Si (0.5000, 0.5000, 0.5000) x1  4 Si 2.70, 8 Zn 2.91
Os (0.5000, 0.5000, 0.0000) x1  4 Os 2.70, 8 Zn 2.71



# 10
Compound: Zn2SiOs
Source: the Alexandria database
Functional: PBE
Structure: optimized geometry

Results
ΔE_f (raw) = 0.04 eV/atom
crystal system = orthorhombic

Unit cell a=3.2706 b=3.9218 c=8.5421 alpha=90.00 beta=90.00 gamma=90.00
With the nearest neighbours (Å) after each atom.
Space group Immm (No. 71)
Symmetry-distinct sites (fractional):
Zn (0.0000, 0.0000, 0.2442) x4  4 Zn 2.56, 2 Si 2.65, 2 Os 2.73
Si (0.0000, 0.5000, 0.5000) x2  4 Os 2.55, 4 Zn 2.65
Os (0.0000, 0.5000, 0.0000) x2  4 Si 2.55, 4 Zn 2.73



# 11
Compound: ZnSi2Os
Source: the Alexandria database
Functional: PBE
Structure: optimized geometry

Results
ΔE_f (raw) = 0.44 eV/atom
crystal system = cubic

Unit cell a=6.0671 b=6.0671 c=6.0671 alpha=90.00 beta=90.00 gamma=90.00
With the nearest neighbours (Å) after each atom.
Space group F-43m (No. 216)
Symmetry-distinct sites (fractional):
Zn (0.0000, 0.0000, 0.0000) x4  4 Os 2.63, 4 Si 2.63
Si (0.0000, 0.0000, 0.5000) x4  4 Os 2.63, 4 Si 2.63
Si (0.2500, 0.2500, 0.2500) x4  4 Zn 2.63, 4 Si 2.63
Os (0.2500, 0.2500, 0.7500) x4  4 Si 2.63, 4 Zn 2.63



# 12
Compound: ZnSiOs2
Source: the Alexandria database
Functional: PBE
Structure: optimized geometry

Results
ΔE_f (raw) = 0.44 eV/atom
crystal system = orthorhombic

Unit cell a=2.7677 b=4.7735 c=8.8957 alpha=90.00 beta=90.00 gamma=90.00
With the nearest neighbours (Å) after each atom.
Space group Cmm2 (No. 35)
Symmetry-distinct sites (fractional):
Zn (0.0000, 0.0000, 0.0000) x2  2 Os 2.64, 2 Si 2.71, 6 Zn 2.76-2.77
Si (0.0000, 0.5000, 0.2623) x2  2 Os 2.45, 2 Zn 2.71
Os (0.0000, 0.0000, 0.4900) x2  2 Si 2.45, 2 Os 2.67
Os (0.0000, 0.5000, 0.7468) x2  2 Zn 2.64, 8 Os 2.67-2.77



# 13
Compound: ZnSi3Os
Source: the Alexandria database
Functional: PBE
Structure: optimized geometry

Results
ΔE_f (raw) = 0.53 eV/atom
crystal system = cubic
energy above the lowest structure with this stoichiometry = 0 kJ/mol of formula units

Unit cell a=4.6652 b=4.6652 c=4.6652 alpha=90.00 beta=90.00 gamma=90.00
With the nearest neighbours (Å) after each atom.
Space group Pm-3m (No. 221)
Symmetry-distinct sites (fractional):
Zn (0.0000, 0.0000, 0.0000) x1  12 Si 3.30
Si (0.0000, 0.5000, 0.5000) x3  2 Os 2.33
Os (0.5000, 0.5000, 0.5000) x1  6 Si 2.33



# 14
Compound: ZnSiOs2
Source: the Alexandria database
Functional: PBE
Structure: optimized geometry

Results
ΔE_f (raw) = 0.10 eV/atom
crystal system = orthorhombic

Unit cell a=2.8723 b=4.5998 c=8.5858 alpha=90.00 beta=90.00 gamma=90.00
With the nearest neighbours (Å) after each atom.
Space group Immm (No. 71)
Symmetry-distinct sites (fractional):
Zn (0.0000, 0.0000, 0.0000) x2  4 Si 2.71, 8 Os 2.80-2.98, 2 Zn 2.87
Si (0.0000, 0.0000, 0.5000) x2  4 Os 2.38
Os (0.0000, 0.5000, 0.2205) x4  2 Si 2.38



# 15
Compound: ZnSiOs2
Source: the Alexandria database
Functional: PBE
Structure: optimized geometry

Results
ΔE_f (raw) = 0.14 eV/atom
crystal system = tetragonal

Unit cell a=3.0457 b=3.0457 c=5.8808 alpha=90.00 beta=90.00 gamma=90.00
With the nearest neighbours (Å) after each atom.
Space group P4mm (No. 99)
Symmetry-distinct sites (fractional):
Zn (0.0000, 0.0000, 0.0000) x1  5 Os 2.55-2.70, 4 Si 2.58
Si (0.5000, 0.5000, 0.7586) x1  5 Os 2.50-2.79, 4 Zn 2.58
Os (0.0000, 0.0000, 0.5417) x1  4 Si 2.50, 1 Zn 2.70
Os (0.5000, 0.5000, 0.2322) x1  4 Zn 2.55, 1 Si 2.79, 4 Os 2.82



# 16
Compound: ZnSi2Os
Source: the Alexandria database
Functional: PBE
Structure: optimized geometry

Results
ΔE_f (raw) = 0.02 eV/atom
crystal system = orthorhombic

Unit cell a=4.2682 b=3.0781 c=8.9319 alpha=90.00 beta=90.00 gamma=90.00
With the nearest neighbours (Å) after each atom.
Space group Amm2 (No. 38)
Symmetry-distinct sites (fractional):
Zn (0.0000, 0.0000, 0.0000) x2  3 Si 2.39-2.59
Si (0.0000, 0.0000, 0.7328) x2  3 Zn 2.39-2.59, 2 Os 2.42
Si (0.5000, 0.0000, 0.3230) x2  3 Os 2.47-2.53, 4 Si 2.75
Os (0.5000, 0.0000, 0.6060) x2  5 Si 2.42-2.53



# 17
Compound: Zn2SiOs
Source: the Alexandria database
Functional: PBE
Structure: optimized geometry

Results
ΔE_f (raw) = 0.27 eV/atom
crystal system = trigonal

Unit cell a=2.7084 b=2.7084 c=28.0933 alpha=90.00 beta=90.00 gamma=120.00
With the nearest neighbours (Å) after each atom.
Space group R-3m (No. 166, hexagonal axes)
Symmetry-distinct sites (fractional):
Zn (0.0000, 0.0000, 0.2457) x6  6 Zn 2.71, 3 Os 2.71, 3 Si 2.92
Si (0.0000, 0.0000, 0.0000) x3  6 Si 2.71, 6 Zn 2.92
Os (0.0000, 0.0000, 0.5000) x3  6 Os 2.71, 6 Zn 2.71



# 18
Compound: ZnSiOs2
Source: the Alexandria database
Functional: PBE
Structure: optimized geometry

Results
ΔE_f (raw) = 0.06 eV/atom
crystal system = monoclinic

Unit cell a=8.4976 b=2.8644 c=4.8148 alpha=90.00 beta=105.46 gamma=90.00
With the nearest neighbours (Å) after each atom.
Space group C2/m (No. 12)
Symmetry-distinct sites (fractional):
Zn (0.0000, 0.0000, 0.0000) x2  6 Os 2.59-2.76, 4 Si 2.80, 2 Zn 2.86
Si (0.0000, 0.5000, 0.5000) x2  4 Os 2.40
Os (0.2243, 0.0000, 0.7251) x4  2 Si 2.40, 1 Zn 2.59



# 19
Compound: ZnSi2Os
Source: the Alexandria database
Functional: PBE
Structure: optimized geometry

Results
ΔE_f (raw) = 0.23 eV/atom
crystal system = orthorhombic

Unit cell a=3.0788 b=4.4076 c=8.1164 alpha=90.00 beta=90.00 gamma=90.00
With the nearest neighbours (Å) after each atom.
Space group Imm2 (No. 44)
Symmetry-distinct sites (fractional):
Zn (0.0000, 0.0000, 0.0000) x2  6 Si 2.54-2.69, 2 Os 2.70
Si (0.0000, 0.0000, 0.5143) x2  2 Si 2.46, 2 Os 2.49, 4 Zn 2.69
Si (0.0000, 0.5000, 0.2508) x2  2 Si 2.46, 2 Zn 2.54, 4 Os 2.69
Os (0.0000, 0.5000, 0.7731) x2  6 Si 2.49-2.69, 2 Zn 2.70



# 20
Compound: ZnSiOs2
Source: the Alexandria database
Functional: PBE
Structure: optimized geometry

Results
ΔE_f (raw) = 0.65 eV/atom
crystal system = tetragonal

Unit cell a=3.8111 b=3.8111 c=17.4520 alpha=90.00 beta=90.00 gamma=90.00
With the nearest neighbours (Å) after each atom.
Space group I-42d (No. 122)
Symmetry-distinct sites (fractional):
Zn (0.0000, 0.0000, 0.0000) x4  4 Os 2.63, 4 Si 2.69
Si (0.0000, 0.0000, 0.5000) x4  4 Os 2.51, 4 Zn 2.69
Os (0.2071, 0.2500, 0.6250) x8  2 Os 2.47, 2 Si 2.51, 2 Zn 2.63